# 1
## PmNd7Mg4 (PBE-GGA)

Data for an optimized crystal structure of PmNd7Mg4.

Results
As for the density of states at the Fermi level: 1.197 states/eV per atom. For the total energy, the calculation gives -3.589 eV per atom. For the energy relative to the elements, the calculation gives 0.120 eV per atom.

Cell lengths 15.484, 5.892, 9.889 Å; angles 90.00, 121.39, 90.00 degrees
Space group C2/m (No. 12)
Symmetry-distinct sites (fractional):
Pm (0.000, 0.000, 0.000) (multiplicity 2)
Nd (0.000, 0.500, 0.000) (multiplicity 2)
Nd (0.081, 0.000, 0.426) (multiplicity 4)
Nd (0.198, 0.000, 0.878) (multiplicity 4)
Nd (0.246, 0.500, 0.711) (multiplicity 4)
Mg (0.038, 0.500, 0.694) (multiplicity 4)
Mg (0.175, 0.500, 0.345) (multiplicity 4)

---

# 2
## Pm2NdMg4 (PBE-GGA)

Data for an optimized crystal structure of Pm2NdMg4.

Results
As for the density of states at the Fermi level: 0.888 states/eV per atom. For the total energy, the calculation gives -2.835 eV per atom. For the energy relative to the elements, the calculation gives 0.114 eV per atom.

Cell lengths 5.447, 5.447, 14.898 Å; angles 90.00, 90.00, 90.00 degrees
Space group I4/mmm (No. 139)
Symmetry-distinct sites (fractional):
Pm (0.000, 0.000, 0.246) (multiplicity 4)
Nd (0.000, 0.000, 0.500) (multiplicity 2)
Mg (0.000, 0.500, 0.117) (multiplicity 8)

---

# 3
## Pm12Nd2Mg (PBE-GGA)

Data for an optimized crystal structure of Pm12Nd2Mg.

Results
As for the density of states at the Fermi level: 0.990 states/eV per atom. For the total energy, the calculation gives -4.259 eV per atom. For the energy relative to the elements, the calculation gives 0.284 eV per atom.

Cell lengths 6.660, 6.660, 24.329 Å; angles 90.00, 90.00, 90.00 degrees
Space group P4/nbm (No. 125, origin choice 2)
Symmetry-distinct sites (fractional):
Pm (0.008, 0.508, 0.099) (multiplicity 8)
Pm (0.083, 0.583, 0.564) (multiplicity 8)
Pm (0.250, 0.250, 0.203) (multiplicity 4)
Pm (0.250, 0.250, 0.330) (multiplicity 4)
Nd (0.250, 0.750, 0.246) (multiplicity 4)
Mg (0.250, 0.750, 0.000) (multiplicity 2)

---

# 4
## PmNd5Mg6 (PBE-GGA)

Data for an optimized crystal structure of PmNd5Mg6.

Results
As for the density of states at the Fermi level: 1.098 states/eV per atom. For the total energy, the calculation gives -3.292 eV per atom. For the energy relative to the elements, the calculation gives -0.112 eV per atom.

Cell lengths 5.488, 16.465, 7.787 Å; angles 90.00, 90.00, 90.00 degrees
Space group Cmmm (No. 65)
Symmetry-distinct sites (fractional):
Pm (0.000, 0.000, 0.000) (multiplicity 2)
Nd (0.000, 0.000, 0.500) (multiplicity 2)
Nd (0.000, 0.333, 0.500) (multiplicity 4)
Nd (0.000, 0.334, 0.000) (multiplicity 4)
Mg (0.000, 0.167, 0.249) (multiplicity 8)
Mg (0.000, 0.500, 0.249) (multiplicity 4)

---

# 5
## PmNdMg (PBE-GGA)

Data for an optimized crystal structure of PmNdMg.

Results
As for the density of states at the Fermi level: 1.283 states/eV per atom. For the total energy, the calculation gives -3.687 eV per atom. For the energy relative to the elements, the calculation gives 0.017 eV per atom.

Cell lengths 6.188, 5.669, 10.661 Å; angles 90.00, 90.00, 90.00 degrees
Space group Pnma (No. 62)
Symmetry-distinct sites (fractional):
Pm (0.175, 0.250, 0.016) (multiplicity 4)
Nd (0.138, 0.250, 0.686) (multiplicity 4)
Mg (0.182, 0.250, 0.343) (multiplicity 4)

---

# 6
## Pm5NdMg3 (PBE-GGA)

Data for an optimized crystal structure of Pm5NdMg3.

Results
As for the density of states at the Fermi level: 1.134 states/eV per atom. For the total energy, the calculation gives -3.696 eV per atom. For the energy relative to the elements, the calculation gives 0.005 eV per atom.

Cell lengths 9.6068, 9.6068, 7.0656 Å; angles 90.00, 90.00, 120.00 degrees
Space group P6_3/mcm (No. 193)
Symmetry-distinct sites (fractional):
Pm (0.0000, 0.3335, 0.2500) (multiplicity 6)
Pm (0.3333, 0.6667, 0.0000) (multiplicity 4)
Nd (0.0000, 0.0000, 0.0000) (multiplicity 2)
Mg (0.0000, 0.3342, 0.7500) (multiplicity 6)